DFT (GGA-PBE) results for a relaxed Pr6SiIr2Br3 crystal.

Properties
For the uncorrected formation energy, the calculation gives -1.038 eV per atom.

a b c (Å): 7.362 12.751 8.100
angles (deg): 90.00 107.65 90.00
Space group C2/m (No. 12)
Inequivalent atoms, fractional coordinates:
Pr  0.221  0.000  0.200 [4 per cell]
Pr  0.239  0.327  0.201 [8 per cell]
Si  0.000  0.500  0.000 [2 per cell]
Ir  0.000  0.167  0.000 [4 per cell]
Br  0.000  0.000  0.500 [2 per cell]
Br  0.000  0.338  0.500 [4 per cell]

---

DFT (GGA-PBE) results for a relaxed PrSmIrBr crystal.

Properties
For the uncorrected formation energy, the calculation gives -1.072 eV per atom.

a b c (Å): 4.1503 4.1503 23.6226
angles (deg): 90.00 90.00 120.00
Space group R3m (No. 160, hexagonal axes)
Inequivalent atoms, fractional coordinates:
Pr  0.0000  0.0000  0.0000 [3 per cell]
Sm  0.0000  0.0000  0.7947 [3 per cell]
Ir  0.0000  0.0000  0.3990 [3 per cell]
Br  0.0000  0.0000  0.2272 [3 per cell]

---

DFT (GGA-PBE) results for a relaxed Pr8SnIr3Br4 crystal.

Properties
For the uncorrected formation energy, the calculation gives -1.017 eV per atom.

a b c (Å): 14.899 8.604 9.217
angles (deg): 90.00 122.65 90.00
Space group C2/m (No. 12)
Inequivalent atoms, fractional coordinates:
Pr  0.022  0.232  0.298 [8 per cell]
Pr  0.233  0.000  0.698 [4 per cell]
Pr  0.246  0.500  0.702 [4 per cell]
Sn  0.000  0.500  0.500 [2 per cell]
Ir  0.000  0.000  0.500 [2 per cell]
Ir  0.250  0.250  0.500 [4 per cell]
Br  0.000  0.000  0.000 [2 per cell]
Br  0.000  0.500  0.000 [2 per cell]
Br  0.250  0.250  0.000 [4 per cell]

---

DFT (GGA-PBE) results for a relaxed TbPrIrBr crystal.

Properties
For the uncorrected formation energy, the calculation gives -1.078 eV per atom.

a b c (Å): 4.1201 4.1201 23.4488
angles (deg): 90.00 90.00 120.00
Space group R3m (No. 160, hexagonal axes)
Inequivalent atoms, fractional coordinates:
Tb  0.0000  0.0000  0.0000 [3 per cell]
Pr  0.0000  0.0000  0.2058 [3 per cell]
Ir  0.0000  0.0000  0.6060 [3 per cell]
Br  0.0000  0.0000  0.4325 [3 per cell]